Record 1
4
Lattice="-1.024 -1.481 -2.904 2.083 -2.638 0.611 -6.222 -3.938 4.202" Properties=species:S:1:pos:R:3 comment="Lu2PaAg, relaxed, DFT PBE" relative_energy_mev_per_atom=0.0 pbc="T T T"
Ag 0.529 -2.060 -1.146
Lu -4.802 -3.039 3.243
Lu -1.420 -0.899 0.959
Pa -2.582 -4.029 0.955

***

Record 2
4
Lattice="-0.196 -3.376 0.265 3.434 0.126 4.149 -4.139 0.509 3.411" Properties=species:S:1:pos:R:3 comment="Lu2PaAg, relaxed, DFT PBE" relative_energy_mev_per_atom=181.6 pbc="T T T"
Lu -2.070 0.254 1.705
Lu 1.717 0.063 2.075
Pa -0.451 -1.371 3.913
Ag -0.098 -1.688 0.133

***

Record 3
Below is LuPaAg after structural relaxation, with properties calculated at the PBE level.

The structure in extended XYZ format:
```
3
Lattice="3.222 0.000 0.000 0.000 3.222 0.000 -1.611 -1.611 6.925" Properties=species:S:1:pos:R:3 pbc="T T T"
Pa 0.000 0.000 0.055
Ag 1.611 1.611 2.400
Lu 0.000 0.000 4.470
```

***

Record 4
4
Lattice="3.193 0.000 0.000 1.596 2.765 0.000 1.596 0.922 11.312" Properties=species:S:1:pos:R:3 comment="Lu2PaAg, relaxed, DFT PBE" relative_energy_mev_per_atom=290.1 pbc="T T T"
Pa 0.000 0.000 0.000
Ag 3.193 1.843 5.656
Lu 1.596 0.922 8.153
Lu 4.789 2.765 3.159

***

Record 5
Below is LuPaAgPb after structural relaxation, with properties calculated at the PBE level.

The structure in extended XYZ format:
```
4
Lattice="-2.774 -0.573 -4.441 2.332 -1.865 -4.339 -1.185 -4.820 -1.762" Properties=species:S:1:pos:R:3 pbc="T T T"
Pb 0.000 0.000 0.000
Lu -1.220 -5.444 -7.907
Pa -0.407 -1.815 -2.636
Ag -0.814 -3.629 -5.271
```

***

Record 6
Below is LuPaAgRu after structural relaxation, with properties calculated at the PBE level.

The structure in extended XYZ format:
```
4
Lattice="4.937 0.000 0.000 2.468 4.275 0.000 2.468 1.425 4.031" Properties=species:S:1:pos:R:3 pbc="T T T"
Pa 4.937 2.850 2.015
Lu 0.000 0.000 0.000
Ru 7.405 4.275 3.023
Ag 2.468 1.425 1.008
```

***

Record 7
Below is LuPaTlAg after structural relaxation, with properties calculated at the PBE level.

The structure in extended XYZ format:
```
4
Lattice="-2.402 -4.106 2.179 -1.763 -3.900 -3.010 2.370 -4.664 0.107" Properties=species:S:1:pos:R:3 pbc="T T T"
Pa 0.000 0.000 0.000
Ag -0.449 -3.167 -0.181
Lu -0.898 -6.335 -0.362
Tl -1.347 -9.502 -0.542
```

***

Record 8
Below is LuPaZnAg after structural relaxation, with properties calculated at the PBE level.

The structure in extended XYZ format:
```
4
Lattice="-2.675 -3.129 -2.929 2.067 -1.926 -4.188 1.190 -4.906 -0.204" Properties=species:S:1:pos:R:3 pbc="T T T"
Lu 0.291 -4.980 -3.661
Ag 0.146 -2.490 -1.830
Pa 0.000 0.000 0.000
Zn 0.437 -7.470 -5.491
```

***

Record 9
4
Lattice="-0.666 -4.824 1.202 3.937 -3.101 0.200 1.609 -1.727 4.426" Properties=species:S:1:pos:R:3 comment="LuAg2Pb, relaxed, DFT PBE" relative_energy_mev_per_atom=23.8 pbc="T T T"
Ag 1.220 -2.413 1.457
Ag 3.660 -7.239 4.371
Pb 0.000 0.000 0.000
Lu 2.440 -4.826 2.914

***

Record 10
Below is LuAg4Pb after structural relaxation, with properties calculated at the PBE level.

The structure in extended XYZ format:
```
6
Lattice="5.648 0.000 0.000 2.824 4.891 0.000 2.824 1.630 4.612" Properties=species:S:1:pos:R:3 pbc="T T T"
Pb 0.000 0.000 0.000
Ag 4.241 4.073 2.880
Ag 5.648 3.261 0.583
Ag 7.055 4.073 2.880
Ag 5.648 1.637 2.880
Lu 2.824 1.630 1.153
```

***

Record 11
4
Lattice="4.465 0.000 0.000 0.000 4.488 0.000 0.000 0.000 4.488" Properties=species:S:1:pos:R:3 comment="LuAg2Pb, relaxed, DFT PBE" relative_energy_mev_per_atom=32.9 pbc="T T T"
Lu 2.233 2.244 2.244
Ag 0.000 2.244 0.000
Ag 0.000 0.000 2.244
Pb 2.233 0.000 0.000

***

Record 12
4
Lattice="3.756 0.000 0.000 0.000 3.756 0.000 0.000 0.000 6.566" Properties=species:S:1:pos:R:3 comment="LuAg2Pb, relaxed, DFT PBE" relative_energy_mev_per_atom=0.0 pbc="T T T"
Ag 0.000 0.000 5.076
Ag 0.000 0.000 1.489
Lu 1.878 1.878 0.000
Pb 1.878 1.878 3.283

***

Record 13
Below is LuAgPb after structural relaxation, with properties calculated at the PBE level.

The structure in extended XYZ format:
```
3
Lattice="-0.752 -3.091 -0.293 2.370 -0.376 -2.109 4.394 -0.117 7.378" Properties=species:S:1:pos:R:3 pbc="T T T"
Lu 5.425 -3.375 4.278
Ag 3.628 -2.736 2.145
Pb 1.411 -0.502 1.675
```

***

Record 14
Below is LuAgPb after structural relaxation, with properties calculated at the PBE level.

The structure in extended XYZ format:
```
9
Lattice="-5.465 -1.835 -4.709 6.974 0.738 -2.497 0.760 -4.387 0.827" Properties=species:S:1:pos:R:3 pbc="T T T"
Pb -1.319 -0.978 -3.972
Pb 2.827 -0.120 -3.235
Pb 0.380 -2.193 0.414
Lu -2.723 -3.235 -2.260
Lu 1.032 -2.668 -2.701
Lu 4.340 -1.774 -1.005
Ag 1.716 0.182 -0.615
Ag 1.137 -0.827 -5.433
Ag -1.345 -0.452 -1.159
```

***

Record 15
Below is LuAgPb after structural relaxation, with properties calculated at the PBE level.

The structure in extended XYZ format:
```
3
Lattice="-1.586 2.972 -0.870 -4.331 -1.987 1.109 2.555 2.369 3.434" Properties=species:S:1:pos:R:3 pbc="T T T"
Lu -3.093 1.446 1.304
Pb -0.201 0.377 -0.110
Ag -0.068 1.531 2.479
```

***

Record 16
Below is LuAgRhPb after structural relaxation, with properties calculated at the PBE level.

The structure in extended XYZ format:
```
4
Lattice="4.852 0.000 0.000 2.426 4.202 0.000 2.426 1.401 3.962" Properties=species:S:1:pos:R:3 pbc="T T T"
Lu 0.000 0.000 0.000
Rh 7.279 4.202 2.971
Pb 4.852 2.802 1.981
Ag 2.426 1.401 0.990
```

***

Record 17
Below is LuScAgPb after structural relaxation, with properties calculated at the PBE level.

The structure in extended XYZ format:
```
4
Lattice="-1.361 -3.463 3.483 -2.301 -4.309 -1.454 2.487 -4.440 0.287" Properties=species:S:1:pos:R:3 pbc="T T T"
Ag -0.294 -3.053 0.579
Pb -0.882 -9.159 1.737
Sc -0.588 -6.106 1.158
Lu 0.000 0.000 0.000
```

***

Record 18
Below is LuAgSnPb after structural relaxation, with properties calculated at the PBE level.

The structure in extended XYZ format:
```
4
Lattice="5.268 0.000 0.000 2.634 4.563 0.000 2.634 1.521 4.302" Properties=species:S:1:pos:R:3 pbc="T T T"
Pb 5.268 3.042 2.151
Ag 7.903 4.563 3.226
Lu 0.000 0.000 0.000
Sn 2.634 1.521 1.075
```

***

Record 19
Below is TbLuAgPb after structural relaxation, with properties calculated at the PBE level.

The structure in extended XYZ format:
```
4
Lattice="5.247 0.000 0.000 2.624 4.544 0.000 2.624 1.515 4.284" Properties=species:S:1:pos:R:3 pbc="T T T"
Tb 0.000 0.000 0.000
Pb 7.871 4.544 3.213
Ag 2.624 1.515 1.071
Lu 5.247 3.029 2.142
```

***

Record 20
Below is LuThAgPb after structural relaxation, with properties calculated at the PBE level.

The structure in extended XYZ format:
```
4
Lattice="5.328 0.000 0.000 2.664 4.614 0.000 2.664 1.538 4.350" Properties=species:S:1:pos:R:3 pbc="T T T"
Th 0.000 0.000 0.000
Pb 7.992 4.614 3.263
Ag 2.664 1.538 1.088
Lu 5.328 3.076 2.175
```

***

Record 21
Below is LuZrAgPb after structural relaxation, with properties calculated at the PBE level.

The structure in extended XYZ format:
```
4
Lattice="5.076 0.000 0.000 2.538 4.396 0.000 2.538 1.465 4.145" Properties=species:S:1:pos:R:3 pbc="T T T"
Pb 7.614 4.396 3.108
Lu 0.000 0.000 0.000
Zr 5.076 2.931 2.072
Ag 2.538 1.465 1.036
```

***

Record 22
Below is LuAg4Pd after structural relaxation, with properties calculated at the PBE level.

The structure in extended XYZ format:
```
6
Lattice="5.452 0.000 0.000 2.726 4.721 0.000 2.726 1.574 4.451" Properties=species:S:1:pos:R:3 pbc="T T T"
Ag 5.452 3.147 0.553
Ag 5.452 1.571 2.783
Ag 4.086 3.936 2.783
Ag 6.817 3.936 2.783
Pd 0.000 0.000 0.000
Lu 2.726 1.574 1.113
```

***

Record 23
4
Lattice="3.486 0.000 0.000 0.000 3.486 0.000 0.000 0.000 7.066" Properties=species:S:1:pos:R:3 comment="Lu2AgPd, relaxed, DFT PBE" relative_energy_mev_per_atom=0.0 pbc="T T T"
Lu 0.000 0.000 1.693
Lu 0.000 0.000 5.373
Pd 1.743 1.743 0.000
Ag 1.743 1.743 3.533

***

Record 24
4
Lattice="-3.614 -1.930 2.769 -0.416 -4.907 0.452 1.080 -2.187 4.302" Properties=species:S:1:pos:R:3 comment="Lu2AgPd, relaxed, DFT PBE" relative_energy_mev_per_atom=19.4 pbc="T T T"
Lu -0.737 -2.256 1.881
Lu -2.212 -6.768 5.642
Pd 0.000 0.000 0.000
Ag -1.475 -4.512 3.761

***

Record 25
Below is LuAgPdRh after structural relaxation, with properties calculated at the PBE level.

The structure in extended XYZ format:
```
4
Lattice="4.633 0.000 0.000 2.317 4.012 0.000 2.317 1.337 3.783" Properties=species:S:1:pos:R:3 pbc="T T T"
Rh 0.000 0.000 0.000
Pd 4.633 2.675 1.891
Lu 6.950 4.012 2.837
Ag 2.317 1.337 0.946
```

***

Record 26
Below is LuScAgPd after structural relaxation, with properties calculated at the PBE level.

The structure in extended XYZ format:
```
4
Lattice="4.859 0.000 0.000 2.429 4.208 0.000 2.429 1.403 3.967" Properties=species:S:1:pos:R:3 pbc="T T T"
Ag 2.429 1.403 0.992
Pd 7.288 4.208 2.975
Lu 0.000 0.000 0.000
Sc 4.859 2.805 1.984
```

***

Record 27
Below is SmLuAgPd after structural relaxation, with properties calculated at the PBE level.

The structure in extended XYZ format:
```
4
Lattice="5.054 0.000 0.000 2.527 4.377 0.000 2.527 1.459 4.127" Properties=species:S:1:pos:R:3 pbc="T T T"
Ag 2.527 1.459 1.032
Pd 7.582 4.377 3.095
Sm 5.054 2.918 2.063
Lu 0.000 0.000 0.000
```

***

Record 28
Below is SrLuAgPd after structural relaxation, with properties calculated at the PBE level.

The structure in extended XYZ format:
```
4
Lattice="-4.204 -2.973 -0.237 -1.159 -2.482 -4.366 0.479 -5.126 -0.256" Properties=species:S:1:pos:R:3 pbc="T T T"
Sr -2.442 -5.290 -2.430
Pd -3.663 -7.935 -3.644
Lu 0.000 0.000 0.000
Ag -1.221 -2.645 -1.215
```

***

Record 29
Below is LuTlAgPd after structural relaxation, with properties calculated at the PBE level.

The structure in extended XYZ format:
```
4
Lattice="-4.853 -0.298 0.119 -2.149 -4.057 1.605 -2.333 0.009 4.267" Properties=species:S:1:pos:R:3 pbc="T T T"
Lu -4.668 -2.173 2.996
Ag -2.334 -1.086 1.498
Pd -7.002 -3.259 4.494
Tl 0.000 0.000 0.000
```

***

Record 30
Below is TmLuAgPd after structural relaxation, with properties calculated at the PBE level.

The structure in extended XYZ format:
```
4
Lattice="-0.654 3.871 3.037 -3.540 3.342 -0.966 -4.036 0.242 2.878" Properties=species:S:1:pos:R:3 pbc="T T T"
Ag -2.057 1.864 1.237
Pd -6.172 5.591 3.711
Tm -4.115 3.728 2.474
Lu 0.000 0.000 0.000
```

***

Across the entries above, E_form takes the values -0.234, 0.493, 0.219, 0.926, 0.236, -0.640, 0.436, 0.235, -0.730, -0.696, -0.694, -0.826, 1.155, -0.880, -0.725, -1.372, -1.290, -0.430, -1.441, -0.756, -0.629, -0.988, -2.621, -2.543, -2.289, -2.391, -2.307, -1.645, -1.619, -2.520 eV/f.u., respectively.
Across the entries above, calculated total energy takes the values -5.4058, -5.2241, -5.5497, -5.1157, -5.0851, -6.6959, -4.6996, -4.4767, -3.6655, -3.3885, -3.6565, -3.6893, -3.3087, -3.9869, -3.9351, -4.9511, -4.6756, -3.8785, -4.2880, -4.8140, -5.0643, -3.6845, -4.9268, -4.9073, -5.5515, -5.3218, -4.8979, -3.9729, -4.1375, -4.8891 eV per atom, respectively.